Model w:
Below is a relaxed structure of YScSb2, with properties calculated at the PBE-GGA level.

Properties
- DOS(E_F) (states/eV/cell) = 4.1
- total magnetic moment (μB per formula unit) = 0.0

```
data_YScSb2
_chemical_formula_sum 'Y1 Sc1 Sb2'
_cell_length_a 5.177
_cell_length_b 5.177
_cell_length_c 3.841
_cell_angle_alpha 90.00
_cell_angle_beta 90.00
_cell_angle_gamma 90.00
_space_group_name_H-M_alt 'P 1'
_space_group_IT_number 1
loop_
_space_group_symop_operation_xyz
'x,y,z'
loop_
_atom_site_label
_atom_site_type_symbol
_atom_site_fract_x
_atom_site_fract_y
_atom_site_fract_z
Sc1 Sc 0.500 0.000 0.500
Sb1 Sb 0.000 0.000 0.000
Sb2 Sb 0.500 0.500 0.000
Y1 Y 0.000 0.500 0.500
```


Model x:
Below is a relaxed structure of YScSb2, with properties calculated at the PBE-GGA level.

Properties
- DOS(E_F) (states/eV/cell) = 2.1
- total magnetic moment (μB per formula unit) = 0.0

```
data_YScSb2
_chemical_formula_sum 'Y1 Sc1 Sb2'
_cell_length_a 3.681
_cell_length_b 3.681
_cell_length_c 7.941
_cell_angle_alpha 90.00
_cell_angle_beta 90.00
_cell_angle_gamma 104.51
_space_group_name_H-M_alt 'P 1'
_space_group_IT_number 1
loop_
_space_group_symop_operation_xyz
'x,y,z'
loop_
_atom_site_label
_atom_site_type_symbol
_atom_site_fract_x
_atom_site_fract_y
_atom_site_fract_z
Y1 Y 0.500 0.500 0.750
Sb1 Sb 0.000 0.000 0.488
Sb2 Sb 0.000 0.000 0.012
Sc1 Sc 0.500 0.500 0.250
```


Result of the stability comparison: model w is the least stable of them.


Model w:
Below is a relaxed structure of Y3ScSb, with properties calculated at the PBE-GGA level.

Properties
- DOS(E_F) (states/eV/cell) = 4.5
- total magnetic moment (μB per formula unit) = 0.0

```
data_Y3ScSb
_chemical_formula_sum 'Y3 Sc1 Sb1'
_cell_length_a 5.429
_cell_length_b 5.429
_cell_length_c 5.429
_cell_angle_alpha 90.00
_cell_angle_beta 90.00
_cell_angle_gamma 90.00
_space_group_name_H-M_alt 'P 1'
_space_group_IT_number 1
loop_
_space_group_symop_operation_xyz
'x,y,z'
loop_
_atom_site_label
_atom_site_type_symbol
_atom_site_fract_x
_atom_site_fract_y
_atom_site_fract_z
Y1 Y 0.000 0.000 0.500
Y2 Y 0.000 0.500 0.000
Y3 Y 0.500 0.000 0.000
Sc1 Sc 0.000 0.000 0.000
Sb1 Sb 0.500 0.500 0.500
```


Model x:
Below is a relaxed structure of Y3ScSb, with properties calculated at the PBE-GGA level.

Properties
- DOS(E_F) (states/eV/cell) = 8.6
- total magnetic moment (μB per formula unit) = 2.4

```
data_Y3ScSb
_chemical_formula_sum 'Y3 Sc1 Sb1'
_cell_length_a 5.697
_cell_length_b 5.697
_cell_length_c 5.697
_cell_angle_alpha 90.00
_cell_angle_beta 90.00
_cell_angle_gamma 90.00
_space_group_name_H-M_alt 'P 1'
_space_group_IT_number 1
loop_
_space_group_symop_operation_xyz
'x,y,z'
loop_
_atom_site_label
_atom_site_type_symbol
_atom_site_fract_x
_atom_site_fract_y
_atom_site_fract_z
Sc1 Sc 0.500 0.500 0.500
Y1 Y 0.500 0.000 0.000
Y2 Y 0.000 0.500 0.000
Y3 Y 0.000 0.000 0.500
Sb1 Sb 0.000 0.000 0.000
```


Result of the stability comparison: model w is the least stable of them.


Model w:
Below is a relaxed structure of Sc2Zn2Sb, with properties calculated at the PBE-GGA level.

Properties
- DOS(E_F) (states/eV/cell) = 5.9
- total magnetic moment (μB per formula unit) = 0.0

```
data_Sc2Zn2Sb
_chemical_formula_sum 'Sc2 Zn2 Sb1'
_cell_length_a 3.661
_cell_length_b 3.661
_cell_length_c 8.479
_cell_angle_alpha 77.53
_cell_angle_beta 77.53
_cell_angle_gamma 90.00
_space_group_name_H-M_alt 'P 1'
_space_group_IT_number 1
loop_
_space_group_symop_operation_xyz
'x,y,z'
loop_
_atom_site_label
_atom_site_type_symbol
_atom_site_fract_x
_atom_site_fract_y
_atom_site_fract_z
Zn1 Zn 0.250 0.750 0.500
Zn2 Zn 0.750 0.250 0.500
Sc1 Sc 0.399 0.399 0.202
Sc2 Sc 0.601 0.601 0.798
Sb1 Sb 0.000 0.000 0.000
```


Model x:
Below is a relaxed structure of Sc2Zn2Sb, with properties calculated at the PBE-GGA level.

Properties
- DOS(E_F) (states/eV/cell) = 10.8
- total magnetic moment (μB per formula unit) = 0.0

```
data_Sc2Zn2Sb
_chemical_formula_sum 'Sc4 Zn4 Sb2'
_cell_length_a 7.615
_cell_length_b 7.615
_cell_length_c 3.736
_cell_angle_alpha 90.00
_cell_angle_beta 90.00
_cell_angle_gamma 90.00
_space_group_name_H-M_alt 'P 1'
_space_group_IT_number 1
loop_
_space_group_symop_operation_xyz
'x,y,z'
loop_
_atom_site_label
_atom_site_type_symbol
_atom_site_fract_x
_atom_site_fract_y
_atom_site_fract_z
Zn1 Zn 0.365 0.135 0.500
Zn2 Zn 0.635 0.865 0.500
Zn3 Zn 0.865 0.365 0.500
Zn4 Zn 0.135 0.635 0.500
Sc1 Sc 0.661 0.161 0.000
Sc2 Sc 0.339 0.839 0.000
Sc3 Sc 0.161 0.339 0.000
Sc4 Sc 0.839 0.661 0.000
Sb1 Sb 0.000 0.000 0.000
Sb2 Sb 0.500 0.500 0.000
```


Model y:
Below is a relaxed structure of Sc2Zn2Sb, with properties calculated at the PBE-GGA level.

Properties
- DOS(E_F) (states/eV/cell) = 7.2
- total magnetic moment (μB per formula unit) = 0.0

```
data_Sc2Zn2Sb
_chemical_formula_sum 'Sc4 Zn4 Sb2'
_cell_length_a 6.943
_cell_length_b 6.943
_cell_length_c 4.154
_cell_angle_alpha 90.00
_cell_angle_beta 90.00
_cell_angle_gamma 90.00
_space_group_name_H-M_alt 'P 1'
_space_group_IT_number 1
loop_
_space_group_symop_operation_xyz
'x,y,z'
loop_
_atom_site_label
_atom_site_type_symbol
_atom_site_fract_x
_atom_site_fract_y
_atom_site_fract_z
Sc1 Sc 0.332 0.168 0.500
Sc2 Sc 0.668 0.832 0.500
Sc3 Sc 0.832 0.332 0.500
Sc4 Sc 0.168 0.668 0.500
Sb1 Sb 0.500 0.500 0.000
Sb2 Sb 0.000 0.000 0.000
Zn1 Zn 0.124 0.376 0.000
Zn2 Zn 0.876 0.624 0.000
Zn3 Zn 0.376 0.876 0.000
Zn4 Zn 0.624 0.124 0.000
```


Result of the stability comparison: model x is the least stable of them.


Model w:
Below is a relaxed structure of ScZn3Sb, with properties calculated at the PBE-GGA level.

Properties
- DOS(E_F) (states/eV/cell) = 4.8
- total magnetic moment (μB per formula unit) = 0.0

```
data_ScZn3Sb
_chemical_formula_sum 'Sc1 Zn3 Sb1'
_cell_length_a 5.103
_cell_length_b 5.103
_cell_length_c 5.103
_cell_angle_alpha 90.00
_cell_angle_beta 90.00
_cell_angle_gamma 90.00
_space_group_name_H-M_alt 'P 1'
_space_group_IT_number 1
loop_
_space_group_symop_operation_xyz
'x,y,z'
loop_
_atom_site_label
_atom_site_type_symbol
_atom_site_fract_x
_atom_site_fract_y
_atom_site_fract_z
Zn1 Zn 0.000 0.500 0.000
Zn2 Zn 0.000 0.000 0.500
Zn3 Zn 0.500 0.000 0.000
Sc1 Sc 0.500 0.500 0.500
Sb1 Sb 0.000 0.000 0.000
```


Model x:
Below is a relaxed structure of ScZn3Sb, with properties calculated at the PBE-GGA level.

Properties
- DOS(E_F) (states/eV/cell) = 3.5
- total magnetic moment (μB per formula unit) = 0.0

```
data_ScZn3Sb
_chemical_formula_sum 'Sc1 Zn3 Sb1'
_cell_length_a 5.146
_cell_length_b 5.146
_cell_length_c 5.146
_cell_angle_alpha 90.00
_cell_angle_beta 90.00
_cell_angle_gamma 90.00
_space_group_name_H-M_alt 'P 1'
_space_group_IT_number 1
loop_
_space_group_symop_operation_xyz
'x,y,z'
loop_
_atom_site_label
_atom_site_type_symbol
_atom_site_fract_x
_atom_site_fract_y
_atom_site_fract_z
Zn1 Zn 0.500 0.000 0.000
Zn2 Zn 0.000 0.000 0.500
Zn3 Zn 0.000 0.500 0.000
Sb1 Sb 0.500 0.500 0.500
Sc1 Sc 0.000 0.000 0.000
```


Result of the stability comparison: model x is the least stable of them.


Model w:
Below is a relaxed structure of ScZnSb3, with properties calculated at the PBE-GGA level.

Properties
- DOS(E_F) (states/eV/cell) = 4.8
- total magnetic moment (μB per formula unit) = 0.0

```
data_ScZnSb3
_chemical_formula_sum 'Sc1 Zn1 Sb3'
_cell_length_a 5.202
_cell_length_b 5.202
_cell_length_c 5.202
_cell_angle_alpha 90.00
_cell_angle_beta 90.00
_cell_angle_gamma 90.00
_space_group_name_H-M_alt 'P 1'
_space_group_IT_number 1
loop_
_space_group_symop_operation_xyz
'x,y,z'
loop_
_atom_site_label
_atom_site_type_symbol
_atom_site_fract_x
_atom_site_fract_y
_atom_site_fract_z
Sc1 Sc 0.500 0.500 0.500
Sb1 Sb 0.000 0.000 0.500
Sb2 Sb 0.000 0.500 0.000
Sb3 Sb 0.500 0.000 0.000
Zn1 Zn 0.000 0.000 0.000
```


Model x:
Below is a relaxed structure of ScZnSb3, with properties calculated at the PBE-GGA level.

Properties
- DOS(E_F) (states/eV/cell) = 3.6
- total magnetic moment (μB per formula unit) = 0.0

```
data_ScZnSb3
_chemical_formula_sum 'Sc1 Zn1 Sb3'
_cell_length_a 5.462
_cell_length_b 5.462
_cell_length_c 5.462
_cell_angle_alpha 90.00
_cell_angle_beta 90.00
_cell_angle_gamma 90.00
_space_group_name_H-M_alt 'P 1'
_space_group_IT_number 1
loop_
_space_group_symop_operation_xyz
'x,y,z'
loop_
_atom_site_label
_atom_site_type_symbol
_atom_site_fract_x
_atom_site_fract_y
_atom_site_fract_z
Sb1 Sb 0.000 0.000 0.500
Sb2 Sb 0.500 0.000 0.000
Sb3 Sb 0.000 0.500 0.000
Zn1 Zn 0.500 0.500 0.500
Sc1 Sc 0.000 0.000 0.000
```


Result of the stability comparison: model w is the least stable of them.